11
Lattice="12.103 -1.746 0.000 12.103 1.746 0.000 -0.669 0.000 8.599" Properties=species:S:1:pos:R:3 comment="Pm2Dy5Th4 (PBE-GGA, relaxed)" ef_kj_per_mol_atoms=11 e_tot_ev_per_atom=-5.54 pbc="T T T"
Pm 5.252 0.000 2.794
Pm 18.284 0.000 5.805
Dy -0.335 0.000 4.300
Dy 7.614 0.000 0.230
Dy 8.662 0.000 3.951
Dy 14.874 0.000 4.648
Dy 15.922 0.000 8.369
Th 1.922 0.000 1.574
Th 10.936 0.000 1.295
Th 12.600 0.000 7.305
Th 21.614 0.000 7.025



6
Lattice="3.245 0.000 0.000 -0.944 4.192 0.000 -0.438 -2.009 9.906" Properties=species:S:1:pos:R:3 comment="CdBCl (PBE-GGA, relaxed)" raw_formation_energy_ev_per_atom=-0.099 e_tot_ev_per_atom=-3.25 relative_energy_mev_per_atom=100 pbc="T T T"
Cd 0.000 0.000 0.000
Cd 0.465 2.360 5.046
B 0.336 2.175 0.727
B 1.968 2.014 0.727
Cl -0.052 0.003 3.959
Cl 2.017 1.934 6.989



7
Lattice="-2.507 2.662 11.138 2.507 -2.662 11.138 2.507 2.662 -11.138" Properties=species:S:1:pos:R:3 comment="Cs3Cd2Au2 (PBE-GGA, relaxed)" ef_kj_per_mol_atoms=-20 e_tot_ev_per_atom=-1.78 relative_energy_mev_per_atom=0 pbc="T T T"
Cs 0.000 0.000 0.000
Cs 2.507 0.000 4.237
Cs 0.000 2.662 6.901
Cd 0.000 0.000 9.589
Cd 0.000 0.000 12.688
Au 2.507 0.000 8.139
Au 0.000 2.662 3.000



10
Lattice="4.259 0.000 0.000 0.000 4.259 0.000 0.000 0.000 11.512" Properties=species:S:1:pos:R:3 comment="Nd2TmAl4Pt3 (PBE-GGA, relaxed)" ef_kj_per_mol_atoms=-89 e_tot_ev_per_atom=-5.64 pbc="T T T"
Nd 0.000 2.129 2.640
Nd 2.129 0.000 8.872
Tm 0.000 0.000 5.756
Al 0.000 0.000 0.000
Al 0.000 2.129 7.664
Al 2.129 0.000 3.848
Al 2.129 2.129 0.000
Pt 0.000 2.129 10.119
Pt 2.129 0.000 1.393
Pt 2.129 2.129 5.756



4
Lattice="0.000 3.379 3.379 3.379 0.000 3.379 3.379 3.379 0.000" Properties=species:S:1:pos:R:3 comment="LiHf2Ag (PBE-GGA, relaxed)" ef_kj_per_mol_atoms=25 e_tot_ev_per_atom=-5.91 relative_energy_mev_per_atom=0 pbc="T T T"
Li 0.000 0.000 0.000
Hf 1.689 1.689 1.689
Hf 5.068 5.068 5.068
Ag 3.379 3.379 3.379



Repeat the third record exactly.
7
Lattice="-2.507 2.662 11.138 2.507 -2.662 11.138 2.507 2.662 -11.138" Properties=species:S:1:pos:R:3 comment="Cs3Cd2Au2 (PBE-GGA, relaxed)" ef_kj_per_mol_atoms=-20 e_tot_ev_per_atom=-1.78 relative_energy_mev_per_atom=0 pbc="T T T"
Cs 0.000 0.000 0.000
Cs 2.507 0.000 4.237
Cs 0.000 2.662 6.901
Cd 0.000 0.000 9.589
Cd 0.000 0.000 12.688
Au 2.507 0.000 8.139
Au 0.000 2.662 3.000